Entry 1:
# Zn3OsN | the Alexandria database | PBE-GGA | optimized geometry
# Relative energy among the computed polymorphs   0 meV per atom
# Total energy   -19.54 eV per cell
data_Zn3OsN
_symmetry_space_group_name_H-M 'P m -3 m'
_symmetry_Int_Tables_number 221
_symmetry_space_group_name_Hall '-P 4 2 3'
_cell_length_a 4.065
_cell_length_b 4.065
_cell_length_c 4.065
_cell_angle_alpha 90.00
_cell_angle_beta 90.00
_cell_angle_gamma 90.00
loop_
_atom_site_label
_atom_site_fract_x
_atom_site_fract_y
_atom_site_fract_z
Zn1 0.000 0.000 0.500
Os1 0.500 0.500 0.500
N1 0.000 0.000 0.000

---

Entry 2:
# ZnOsN3 | the Alexandria database | PBE-GGA | optimized geometry
# Total energy   -31.97 eV per cell
data_ZnOsN3
_symmetry_space_group_name_H-M 'P m -3 m'
_symmetry_Int_Tables_number 221
_symmetry_space_group_name_Hall '-P 4 2 3'
_cell_length_a 3.860
_cell_length_b 3.860
_cell_length_c 3.860
_cell_angle_alpha 90.00
_cell_angle_beta 90.00
_cell_angle_gamma 90.00
loop_
_atom_site_label
_atom_site_fract_x
_atom_site_fract_y
_atom_site_fract_z
Zn1 0.000 0.000 0.000
Os1 0.500 0.500 0.500
N1 0.000 0.500 0.500

---

Entry 3:
# ZnOs2N | the Alexandria database | PBE-GGA | optimized geometry
# Relative energy among the computed polymorphs   0 meV per atom
# Total energy   -118.13 eV per cell
data_ZnOs2N
_symmetry_space_group_name_H-M 'I -4 2 d'
_symmetry_Int_Tables_number 122
_symmetry_space_group_name_Hall 'I -4 2bw'
_cell_length_a 6.488
_cell_length_b 6.488
_cell_length_c 5.057
_cell_angle_alpha 90.00
_cell_angle_beta 90.00
_cell_angle_gamma 90.00
loop_
_atom_site_label
_atom_site_fract_x
_atom_site_fract_y
_atom_site_fract_z
Zn1 0.000 0.000 0.000
Os1 0.143 0.250 0.625
N1 0.000 0.000 0.500